DFT (PBE-GGA) results for NaMo3C after structural relaxation.

For the formation energy, the calculation gives 3.883 eV per atom. The value obtained for the distance to the lowest polymorph of the same formula is 3.232 eV/atom.

Lattice parameters (Å, degrees): 4.492 4.492 4.492 90.00 90.00 90.00
Atoms (fractional coordinates):
Na  0.000  0.000  0.000
Mo  0.000  0.000  0.500
Mo  0.000  0.500  0.000
Mo  0.500  0.000  0.000
C  0.500  0.500  0.500

DFT (PBE-GGA) results for NaMoC3 after structural relaxation.

For the formation energy, the calculation gives 3.683 eV per atom. The value obtained for the distance to the lowest polymorph of the same formula is 2.158 eV/atom.

Lattice parameters (Å, degrees): 3.945 3.945 3.945 90.00 90.00 90.00
Atoms (fractional coordinates):
Na  0.000  0.000  0.000
Mo  0.500  0.500  0.500
C  0.000  0.000  0.500
C  0.000  0.500  0.000
C  0.500  0.000  0.000

DFT (PBE-GGA) results for NaMoC2 after structural relaxation.

For the formation energy, the calculation gives 1.696 eV per atom. The value obtained for the distance to the lowest polymorph of the same formula is 0.885 eV/atom.

Lattice parameters (Å, degrees): 3.900 3.900 3.900 60.00 60.00 60.00
Atoms (fractional coordinates):
Na  0.000  0.000  0.000
Mo  0.500  0.500  0.500
C  0.250  0.250  0.250
C  0.750  0.750  0.750

DFT (PBE-GGA) results for Na3MoC after structural relaxation.

For the formation energy, the calculation gives 1.694 eV per atom. The value obtained for the distance to the lowest polymorph of the same formula is 0.000 eV/atom.

Lattice parameters (Å, degrees): 4.990 4.990 4.990 90.00 90.00 90.00
Atoms (fractional coordinates):
Na  0.000  0.000  0.500
Na  0.000  0.500  0.000
Na  0.500  0.000  0.000
Mo  0.500  0.500  0.500
C  0.000  0.000  0.000

DFT (PBE-GGA) results for NaMoC3 after structural relaxation.

For the formation energy, the calculation gives 1.525 eV per atom. The value obtained for the distance to the lowest polymorph of the same formula is 0.000 eV/atom.

Lattice parameters (Å, degrees): 4.160 4.160 4.160 90.00 90.00 90.00
Atoms (fractional coordinates):
Na  0.000  0.000  0.000
Mo  0.500  0.500  0.500
C  0.000  0.500  0.500
C  0.500  0.000  0.500
C  0.500  0.500  0.000

DFT (PBE-GGA) results for NaMoRh2C after structural relaxation.

For the formation energy, the calculation gives 2.407 eV per atom.

Lattice parameters (Å, degrees): 4.615 4.615 5.795 90.00 90.00 90.00
Atoms (fractional coordinates):
Na  0.000  0.000  0.000
Mo  0.000  0.000  0.500
Rh  0.000  0.500  0.500
Rh  0.500  0.000  0.500
C  0.500  0.500  0.000

DFT (PBE-GGA) results for NbMoC2 after structural relaxation.

For the formation energy, the calculation gives -0.122 eV per atom. The value obtained for the distance to the lowest polymorph of the same formula is 0.055 eV/atom.

Lattice parameters (Å, degrees): 5.424 5.424 5.424 33.75 33.75 33.75
Atoms (fractional coordinates):
Nb  0.000  0.000  0.000
Mo  0.500  0.500  0.500
C  0.248  0.248  0.248
C  0.752  0.752  0.752

DFT (PBE-GGA) results for NbMo3C after structural relaxation.

For the formation energy, the calculation gives 3.141 eV per atom. The value obtained for the distance to the lowest polymorph of the same formula is 3.072 eV/atom.

Lattice parameters (Å, degrees): 4.731 4.731 4.731 90.00 90.00 90.00
Atoms (fractional coordinates):
Nb  0.000  0.000  0.000
Mo  0.000  0.000  0.500
Mo  0.000  0.500  0.000
Mo  0.500  0.000  0.000
C  0.500  0.500  0.500

DFT (PBE-GGA) results for NbMoC2 after structural relaxation.

For the formation energy, the calculation gives -0.177 eV per atom. The value obtained for the distance to the lowest polymorph of the same formula is 0.000 eV/atom.

Lattice parameters (Å, degrees): 5.725 5.725 5.725 31.02 31.02 31.02
Atoms (fractional coordinates):
Nb  0.000  0.000  0.000
Mo  0.826  0.826  0.826
C  0.417  0.417  0.417
C  0.578  0.578  0.578

DFT (PBE-GGA) results for NbMo3C after structural relaxation.

For the formation energy, the calculation gives 0.069 eV per atom. The value obtained for the distance to the lowest polymorph of the same formula is 0.000 eV/atom.

Lattice parameters (Å, degrees): 4.194 4.194 4.194 90.00 90.00 90.00
Atoms (fractional coordinates):
Nb  0.000  0.000  0.000
Mo  0.000  0.500  0.500
Mo  0.500  0.000  0.500
Mo  0.500  0.500  0.000
C  0.500  0.500  0.500

DFT (PBE-GGA) results for Nb3MoC after structural relaxation.

For the formation energy, the calculation gives 0.042 eV per atom. The value obtained for the distance to the lowest polymorph of the same formula is 0.000 eV/atom.

Lattice parameters (Å, degrees): 4.313 4.313 4.313 90.00 90.00 90.00
Atoms (fractional coordinates):
Nb  0.000  0.000  0.500
Nb  0.000  0.500  0.000
Nb  0.500  0.000  0.000
Mo  0.500  0.500  0.500
C  0.000  0.000  0.000

DFT (PBE-GGA) results for Nb2Mo2C3 after structural relaxation.

For the formation energy, the calculation gives -0.108 eV per atom.

Lattice parameters (Å, degrees): 10.223 10.223 10.223 17.64 17.64 17.64
Atoms (fractional coordinates):
Nb  0.122  0.122  0.122
Nb  0.878  0.878  0.878
Mo  0.377  0.377  0.377
Mo  0.623  0.623  0.623
C  0.000  0.000  0.000
C  0.248  0.248  0.248
C  0.752  0.752  0.752

> What is the formula in the first record?

NaMo3C